Entry 1:
VASP calculation (PBE-GGA) on a relaxed GaOs3C crystal.

abc: 4.062 4.062 4.062
angles: 90.00 90.00 90.00
Space group Pm-3m (No. 221)
One atom of each set of equivalent atoms:
Ga: 0.000 0.000 0.000 [1 per cell]
Os: 0.000 0.500 0.500 [3 per cell]
C: 0.500 0.500 0.500 [1 per cell]

- Final energy: -43.424 eV for the cell shown
- Formation energy: 0.5032 eV/atom
- Calculated density: 16.17 Mg/m³
- E above lowest polymorph: 0.000 eV/atom
- DOS at the Fermi energy: 5.8 states/eV per cell

***

Entry 2:
VASP calculation (PBE-GGA) on a relaxed Zr4AgCl crystal.

abc: 8.219 8.219 8.219
angles: 90.00 90.00 90.00
Space group F-43m (No. 216)
One atom of each set of equivalent atoms:
Zr: 0.122 0.122 0.122 [16 per cell]
Ag: 0.250 0.250 0.750 [4 per cell]
Cl: 0.000 0.000 0.500 [4 per cell]

- Final energy: -143.402 eV for the cell shown
- Calculated density: 6.08 Mg/m³
- Formation energy without anion corrections: 0.5067 eV/atom
- DOS at the Fermi energy: 28.7 states/eV per cell

***

Entry 3:
VASP calculation (PBE-GGA) on a relaxed KPrCdF6 crystal.

abc: 8.219 8.688 12.209
angles: 90.00 90.00 90.00
Space group Imma (No. 74)
One atom of each set of equivalent atoms:
K: 0.000 0.250 0.008 [4 per cell]
Pr: 0.000 0.000 0.500 [4 per cell]
Cd: 0.250 0.250 0.750 [4 per cell]
F: 0.000 0.250 0.429 [4 per cell]
F: 0.000 0.250 0.804 [4 per cell]
F: 0.215 0.075 0.610 [16 per cell]

- Final energy: -182.698 eV for the cell shown
- Calculated density: 3.10 Mg/m³
- Formation energy without anion corrections: -3.0727 eV/atom
- DOS at the Fermi energy: 0.0 states/eV per cell

***

Entry 4:
VASP calculation (PBE-GGA) on a relaxed Y5AlTl4 crystal.

abc: 3.698 3.698 19.510
angles: 90.00 90.00 90.00
Space group P4/mmm (No. 123)
One atom of each set of equivalent atoms:
Y: 0.000 0.000 0.000 [1 per cell]
Y: 0.000 0.000 0.206 [2 per cell]
Y: 0.000 0.000 0.409 [2 per cell]
Al: 0.500 0.500 0.500 [1 per cell]
Tl: 0.500 0.500 0.103 [2 per cell]
Tl: 0.500 0.500 0.307 [2 per cell]

- Final energy: -49.340 eV for the cell shown
- Formation energy: -0.3812 eV/atom
- Calculated density: 8.02 Mg/m³
- DOS at the Fermi energy: 6.7 states/eV per cell